Material: CoSb2As
Method: DFT, GGA-PBEsol
State: optimized geometry

Values from the calculation:
Crystal system: tetragonal
E_form (uncorrected): 0.2224 eV per atom
Symmetry: I-42d (122)

abc: 7.101 7.101 7.101
angles: 130.53 130.53 72.56
Fractional coordinates of all 8 atoms:
Co 0.000 0.000 0.000
Co 0.750 0.250 0.500
Sb 0.077 0.625 0.952
Sb 0.375 0.327 0.452
Sb 0.673 0.125 0.048
Sb 0.875 0.923 0.548
As 0.250 0.750 0.500
As 0.500 0.500 0.000

=====

Material: LiTa2Tl
Method: DFT, GGA-PBEsol
State: optimized geometry

Values from the calculation:
Energy relative to the elements: 0.368 eV per atom
Crystal system: monoclinic
Symmetry: C2/m (12)

abc: 5.726 5.726 2.947
angles: 100.84 100.84 124.89
Fractional coordinates of all 4 atoms:
Li 0.000 0.000 0.000
Ta 0.000 0.500 0.500
Ta 0.500 0.000 0.500
Tl 0.500 0.500 0.000

=====

Material: PrIr2
Method: DFT, GGA-PBEsol
State: optimized geometry

Values from the calculation:
Energy relative to the elements: -0.646 eV per atom
Crystal system: cubic
Symmetry: Fd-3m (227)

abc: 5.389 5.389 5.389
angles: 60.00 60.00 60.00
Fractional coordinates of all 6 atoms:
Pr 0.125 0.125 0.125
Pr 0.875 0.875 0.875
Ir 0.000 0.500 0.500
Ir 0.500 0.000 0.500
Ir 0.500 0.500 0.000
Ir 0.500 0.500 0.500

=====

Material: AgHPt3
Method: DFT, GGA-PBEsol
State: optimized geometry

Values from the calculation:
Crystal system: cubic
Energy above the lowest structure with this stoichiometry: 0 meV per atom
Symmetry: Pm-3m (221)

abc: 4.000 4.000 4.000
angles: 90.00 90.00 90.00
Fractional coordinates of all 5 atoms:
Ag 0.000 0.000 0.000
H 0.500 0.500 0.500
Pt 0.000 0.500 0.500
Pt 0.500 0.000 0.500
Pt 0.500 0.500 0.000

=====

Material: Mg5Sc4
Method: DFT, GGA-PBEsol
State: optimized geometry

Values from the calculation:
Energy relative to the elements: 0.025 eV per atom
Crystal system: hexagonal
Energy above the lowest structure with this stoichiometry: 53 meV per atom
Symmetry: P6_3/mcm (193)

abc: 8.803 8.803 6.108
angles: 90.00 90.00 120.00
Fractional coordinates of all 18 atoms:
Mg 0.000 0.339 0.250
Mg 0.000 0.661 0.750
Mg 0.333 0.667 0.000
Mg 0.333 0.667 0.500
Mg 0.339 0.000 0.250
Mg 0.339 0.339 0.750
Mg 0.661 0.000 0.750
Mg 0.661 0.661 0.250
Mg 0.667 0.333 0.000
Mg 0.667 0.333 0.500
Sc 0.000 0.000 0.000
Sc 0.000 0.000 0.500
Sc 0.000 0.324 0.750
Sc 0.000 0.676 0.250
Sc 0.324 0.000 0.750
Sc 0.324 0.324 0.250
Sc 0.676 0.000 0.250
Sc 0.676 0.676 0.750

=====

Material: GaRuPt3
Method: DFT, GGA-PBEsol
State: optimized geometry

Values from the calculation:
Energy relative to the elements: 1.172 eV per atom
Crystal system: cubic
Symmetry: Pm-3m (221)

abc: 4.512 4.512 4.512
angles: 90.00 90.00 90.00
Fractional coordinates of all 5 atoms:
Ga 0.000 0.000 0.000
Ru 0.500 0.500 0.500
Pt 0.000 0.000 0.500
Pt 0.000 0.500 0.000
Pt 0.500 0.000 0.000

=====

Material: As2IrPb
Method: DFT, GGA-PBEsol
State: optimized geometry

Values from the calculation:
Energy relative to the elements: -0.049 eV per atom
Crystal system: monoclinic
Energy above the lowest structure with this stoichiometry: 0 meV per atom
Symmetry: P2/m (10)

abc: 4.570 4.019 4.821
angles: 90.00 111.13 90.00
Fractional coordinates of all 4 atoms:
As 0.209 0.000 0.331
As 0.791 0.000 0.669
Ir 0.000 0.500 0.500
Pb 0.500 0.500 0.000

=====

Material: PmYAl2
Method: DFT, GGA-PBEsol
State: optimized geometry

Values from the calculation:
Energy relative to the elements: -0.402 eV per atom
Crystal system: cubic
Symmetry: Fm-3m (225)

abc: 5.097 5.097 5.097
angles: 60.00 60.00 60.00
Fractional coordinates of all 4 atoms:
Pm 0.000 0.000 0.000
Y 0.500 0.500 0.500
Al 0.250 0.250 0.250
Al 0.750 0.750 0.750